*A*
{
  "formula": "SnBPS2",
  "functional": "PBE",
  "state": "relaxed",
  "lattice_angstrom": [[4.478, 0.000, 0.000], [0.000, 4.478, 0.000], [0.000, 0.000, 4.077]],
  "species": ["Sn", "B", "P", "S", "S"],
  "frac_coords": [[0.000, 0.000, 0.000], [0.500, 0.500, 0.500], [0.500, 0.500, 0.000], [0.000, 0.500, 0.500], [0.500, 0.000, 0.500]],
  "spacegroup": "P4/mmm, No. 123",
  "magmom_total_mub_per_cell": 0.000
}


*B*
{
  "formula": "SnBPS2",
  "functional": "PBE",
  "state": "relaxed",
  "lattice_angstrom": [[5.027, 0.000, 0.000], [0.000, 5.027, 0.000], [0.000, 0.000, 5.063]],
  "species": ["Sn", "B", "P", "S", "S"],
  "frac_coords": [[0.000, 0.000, 0.000], [0.500, 0.500, 0.500], [0.000, 0.000, 0.500], [0.000, 0.500, 0.000], [0.500, 0.000, 0.000]],
  "spacegroup": "P4/mmm, No. 123",
  "magmom_total_mub_per_cell": 1.074
}


Which one sits at the top of the stability order? *A* does.


*A*
{
  "formula": "SrBPS2",
  "functional": "PBE",
  "state": "relaxed",
  "lattice_angstrom": [[4.841, 0.000, 0.000], [0.000, 4.841, 0.000], [0.000, 0.000, 3.869]],
  "species": ["Sr", "B", "P", "S", "S"],
  "frac_coords": [[0.000, 0.000, 0.000], [0.500, 0.500, 0.500], [0.500, 0.500, 0.000], [0.000, 0.500, 0.500], [0.500, 0.000, 0.500]],
  "spacegroup": "P4/mmm, No. 123",
  "magmom_total_mub_per_cell": 0.000
}


*B*
{
  "formula": "SrBPS2",
  "functional": "PBE",
  "state": "relaxed",
  "lattice_angstrom": [[5.620, 0.000, 0.000], [0.000, 5.620, 0.000], [0.000, 0.000, 5.975]],
  "species": ["Sr", "B", "P", "S", "S"],
  "frac_coords": [[0.000, 0.000, 0.000], [0.500, 0.500, 0.500], [0.000, 0.000, 0.500], [0.000, 0.500, 0.000], [0.500, 0.000, 0.000]],
  "spacegroup": "P4/mmm, No. 123",
  "magmom_total_mub_per_cell": 4.023
}


Which one sits at the top of the stability order? *A* does.


*A*
{
  "formula": "SrBP2S",
  "functional": "PBE",
  "state": "relaxed",
  "lattice_angstrom": [[5.616, 0.000, 0.000], [0.000, 5.616, 0.000], [0.000, 0.000, 5.484]],
  "species": ["Sr", "B", "P", "P", "S"],
  "frac_coords": [[0.000, 0.000, 0.000], [0.500, 0.500, 0.500], [0.000, 0.500, 0.000], [0.500, 0.000, 0.000], [0.000, 0.000, 0.500]],
  "spacegroup": "P4/mmm, No. 123",
  "magmom_total_mub_per_cell": 1.729
}


*B*
{
  "formula": "SrBP2S",
  "functional": "PBE",
  "state": "relaxed",
  "lattice_angstrom": [[4.074, 0.000, 0.000], [0.000, 4.074, 0.000], [0.000, 0.000, 5.918]],
  "species": ["Sr", "B", "P", "P", "S"],
  "frac_coords": [[0.000, 0.000, 0.000], [0.500, 0.500, 0.500], [0.000, 0.500, 0.500], [0.500, 0.000, 0.500], [0.500, 0.500, 0.000]],
  "spacegroup": "P4/mmm, No. 123",
  "magmom_total_mub_per_cell": 0.000
}


Which one sits at the top of the stability order? *B* does.


*A*
{
  "formula": "TcBP2S",
  "functional": "PBE",
  "state": "relaxed",
  "lattice_angstrom": [[3.974, 0.000, 0.000], [0.000, 3.974, 0.000], [0.000, 0.000, 4.250]],
  "species": ["Tc", "B", "P", "P", "S"],
  "frac_coords": [[0.000, 0.000, 0.000], [0.500, 0.500, 0.500], [0.000, 0.500, 0.500], [0.500, 0.000, 0.500], [0.500, 0.500, 0.000]],
  "spacegroup": "P4/mmm, No. 123",
  "magmom_total_mub_per_cell": 1.424
}


*B*
{
  "formula": "TcBP2S",
  "functional": "PBE",
  "state": "relaxed",
  "lattice_angstrom": [[4.492, 0.000, 0.000], [0.000, 4.492, 0.000], [0.000, 0.000, 5.003]],
  "species": ["Tc", "B", "P", "P", "S"],
  "frac_coords": [[0.000, 0.000, 0.000], [0.500, 0.500, 0.500], [0.000, 0.500, 0.000], [0.500, 0.000, 0.000], [0.000, 0.000, 0.500]],
  "spacegroup": "P4/mmm, No. 123",
  "magmom_total_mub_per_cell": 0.000
}


Which one sits at the top of the stability order? *A* does.